Entry 1:
Material: TcPbNO
Method: DFT, PBE
State: optimized geometry

a = 5.7032 Å, b = 6.3698 Å, c = 7.3544 Å
α = 90.00°, β = 90.00°, γ = 90.00°
Closest atoms and distances in Å follow each position.
Space group Cmme (No. 67)
One atom of each set of equivalent atoms:
1 Tc 0.0000 0.2500 0.0399 (multiplicity 4)  1 N 1.73
2 Pb 0.2500 0.0000 0.5000 (multiplicity 4)  4 N 2.71, 2 Pb 2.85
3 N 0.0000 0.2500 0.2746 (multiplicity 4)  1 Tc 1.73
4 O 0.2500 0.0000 0.0000 (multiplicity 4)  4 Tc 2.16

Results
For the relative energy among the computed polymorphs, the calculation gives 386 meV per atom.

Entry 2:
Material: ZrZnPtAu
Method: DFT, PBE
State: optimized geometry

a = 6.5084 Å, b = 6.5084 Å, c = 6.5084 Å
α = 90.00°, β = 90.00°, γ = 90.00°
Closest atoms and distances in Å follow each position.
Space group F-43m (No. 216)
One atom of each set of equivalent atoms:
1 Zr 0.0000 0.0000 0.0000 (multiplicity 4)  4 Zn 2.82, 4 Au 2.82
2 Zn 0.2500 0.2500 0.2500 (multiplicity 4)  4 Zr 2.82, 4 Pt 2.82
3 Pt 0.0000 0.0000 0.5000 (multiplicity 4)  4 Zn 2.82, 4 Au 2.82
4 Au 0.2500 0.2500 0.7500 (multiplicity 4)  4 Zr 2.82, 4 Pt 2.82

Results
Its formation energy is -0.507 eV per atom. For the relative energy among the computed polymorphs, the calculation gives 126 meV per atom.

Entry 3:
Material: CsDy2Cu3Te4Se
Method: DFT, PBE
State: optimized geometry

a = 4.3306 Å, b = 15.5560 Å, c = 18.0673 Å
α = 90.00°, β = 90.00°, γ = 90.00°
Closest atoms and distances in Å follow each position.
Space group Cmcm (No. 63)
One atom of each set of equivalent atoms:
1 Cs 0.0000 0.0688 0.2500 (multiplicity 4)  6 Te 3.58-3.75, 2 Se 3.71
2 Dy 0.0000 0.1944 0.5975 (multiplicity 8)  1 Se 2.84, 5 Te 3.06-3.12
3 Cu 0.0000 0.3375 0.2500 (multiplicity 4)  2 Se 2.46
4 Cu 0.0000 0.4167 0.5232 (multiplicity 8)  4 Te 2.61-2.79, 1 Cu 2.73
5 Te 0.0000 0.1646 0.0696 (multiplicity 8)  2 Cu 2.64
6 Te 0.0000 0.4429 0.1197 (multiplicity 8)  3 Cu 2.61-2.87
7 Se 0.0000 0.2374 0.7500 (multiplicity 4)  2 Cu 2.46

Entry 4:
Material: Dy5Ho2Ga
Method: DFT, PBE
State: optimized geometry

a = 5.4687 Å, b = 7.0206 Å, c = 12.1582 Å
α = 90.00°, β = 90.00°, γ = 90.00°
Closest atoms and distances in Å follow each position.
Space group Amm2 (No. 38)
One atom of each set of equivalent atoms:
1 Dy 0.0000 0.0000 0.0000 (multiplicity 2)  4 Ho 3.37-3.51, 8 Dy 3.38-3.51
2 Dy 0.0000 0.2403 0.2534 (multiplicity 4)  2 Ga 3.35, 6 Dy 3.37-3.65, 4 Ho 3.38-3.64
3 Dy 0.5000 0.2439 0.0816 (multiplicity 4)  6 Dy 3.38-3.60, 4 Ho 3.42-3.60, 2 Ga 3.50-3.52
4 Ho 0.0000 0.0000 0.4941 (multiplicity 2)  2 Ga 3.37, 10 Dy 3.38-3.64
5 Ho 0.5000 0.0000 0.8378 (multiplicity 2)  10 Dy 3.37-3.60, 2 Ga 3.51
6 Ga 0.5000 0.0000 0.3325 (multiplicity 2)  8 Dy 3.35-3.52, 4 Ho 3.37-3.51

Entry 5:
Material: KPrNd
Method: DFT, PBE
State: optimized geometry

a = 8.4763 Å, b = 8.4763 Å, c = 8.4763 Å
α = 90.00°, β = 90.00°, γ = 90.00°
Closest atoms and distances in Å follow each position.
Space group F-43m (No. 216)
One atom of each set of equivalent atoms:
1 K 0.0000 0.0000 0.0000 (multiplicity 4)  4 Pr 3.67
2 Pr 0.2500 0.2500 0.2500 (multiplicity 4)  4 K 3.67, 4 Nd 3.67
3 Nd 0.0000 0.0000 0.5000 (multiplicity 4)  4 Pr 3.67

Results
For the relative energy among the computed polymorphs, the calculation gives 0 meV per atom.

Entry 6:
Material: Cs2TcO3
Method: DFT, PBE
State: optimized geometry

a = 6.8216 Å, b = 6.8216 Å, c = 7.9305 Å
α = 90.00°, β = 90.00°, γ = 120.00°
Closest atoms and distances in Å follow each position.
Space group P321 (No. 150)
One atom of each set of equivalent atoms:
1 Cs 0.0000 0.0000 0.0000 (multiplicity 1)  6 O 2.97
2 Cs 0.0000 0.0000 0.5000 (multiplicity 1)  6 O 2.96
3 Cs 0.3333 0.6667 0.2568 (multiplicity 2)  3 O 3.10
4 Tc 0.3333 0.6667 0.7511 (multiplicity 2)  3 O 1.78
5 O 0.1376 0.7677 0.7493 (multiplicity 6)  1 Tc 1.78

Results
For the relative energy among the computed polymorphs, the calculation gives 0 meV per atom.

Entry 7:
Material: LaZrCuPt
Method: DFT, PBE
State: optimized geometry

a = 6.7600 Å, b = 6.7600 Å, c = 6.7600 Å
α = 90.00°, β = 90.00°, γ = 90.00°
Closest atoms and distances in Å follow each position.
Space group F-43m (No. 216)
One atom of each set of equivalent atoms:
1 La 0.0000 0.0000 0.0000 (multiplicity 4)  4 Zr 2.93, 4 Pt 2.93
2 Zr 0.2500 0.2500 0.2500 (multiplicity 4)  4 La 2.93, 4 Cu 2.93
3 Cu 0.0000 0.0000 0.5000 (multiplicity 4)  4 Zr 2.93, 4 Pt 2.93
4 Pt 0.2500 0.2500 0.7500 (multiplicity 4)  4 La 2.93, 4 Cu 2.93

Results
Its formation energy is -0.247 eV per atom. For the relative energy among the computed polymorphs, the calculation gives 165 meV per atom.

Entry 8:
Material: TaInAg
Method: DFT, PBE
State: optimized geometry

a = 6.4396 Å, b = 6.4396 Å, c = 6.4396 Å
α = 90.00°, β = 90.00°, γ = 90.00°
Closest atoms and distances in Å follow each position.
Space group F-43m (No. 216)
One atom of each set of equivalent atoms:
1 Ta 0.0000 0.0000 0.0000 (multiplicity 4)  4 In 2.79
2 In 0.2500 0.2500 0.7500 (multiplicity 4)  4 Ta 2.79, 4 Ag 2.79
3 Ag 0.0000 0.0000 0.5000 (multiplicity 4)  4 In 2.79

Entry 9:
Material: Sm3Al3GeIr2
Method: DFT, PBE
State: optimized geometry

a = 8.1721 Å, b = 8.1721 Å, c = 3.1988 Å
α = 90.00°, β = 90.00°, γ = 120.00°
Closest atoms and distances in Å follow each position.
Space group P-62m (No. 189)
One atom of each set of equivalent atoms:
1 Sm 0.0000 0.7067 0.0000 (multiplicity 3)  2 Ge 2.88, 2 Ir 2.90, 2 Al 3.07, 2 Sm 3.20
2 Al 0.0000 0.3865 0.5000 (multiplicity 3)  4 Ir 3.00, 6 Sm 3.07-3.27, 1 Ge 3.16, 2 Al 3.20
3 Ge 0.0000 0.0000 0.5000 (multiplicity 1)  6 Sm 2.88, 3 Al 3.16, 2 Ge 3.20
4 Ir 0.3333 0.6667 0.0000 (multiplicity 2)  3 Sm 2.90, 6 Al 3.00, 2 Ir 3.20

Results
For the relative energy among the computed polymorphs, the calculation gives 438 meV per atom.

Entry 10:
Material: CsCu
Method: DFT, PBE
State: optimized geometry

a = 7.8548 Å, b = 7.8548 Å, c = 7.8548 Å
α = 90.00°, β = 90.00°, γ = 90.00°
Closest atoms and distances in Å follow each position.
Space group F-43m (No. 216)
One atom of each set of equivalent atoms:
1 Cs 0.0000 0.0000 0.0000 (multiplicity 4)  4 Cu 3.40
2 Cu 0.2500 0.2500 0.7500 (multiplicity 4)  4 Cs 3.40

Entry 11:
Material: Hf2NbIn
Method: DFT, PBE
State: optimized geometry

a = 3.5235 Å, b = 3.5235 Å, c = 6.7630 Å
α = 90.00°, β = 90.00°, γ = 90.00°
Closest atoms and distances in Å follow each position.
Space group P4/mmm (No. 123)
One atom of each set of equivalent atoms:
1 Hf 0.0000 0.0000 0.2296 (multiplicity 2)  4 Nb 2.94, 4 In 3.09, 1 Hf 3.10
2 Nb 0.5000 0.5000 0.0000 (multiplicity 1)  8 Hf 2.94
3 In 0.5000 0.5000 0.5000 (multiplicity 1)  8 Hf 3.09, 2 Nb 3.38

Entry 12:
Material: TaAsSe
Method: DFT, PBE
State: optimized geometry

a = 6.3816 Å, b = 6.3816 Å, c = 6.3816 Å
α = 90.00°, β = 90.00°, γ = 90.00°
Closest atoms and distances in Å follow each position.
Space group P2_13 (No. 198)
One atom of each set of equivalent atoms:
1 Ta 0.0023 0.4977 0.5023 (multiplicity 4)  3 As 2.62, 3 Se 2.65
2 As 0.1351 0.6351 0.8649 (multiplicity 4)  3 Ta 2.62
3 Se 0.1305 0.8695 0.3695 (multiplicity 4)  3 Ta 2.65, 1 As 2.94

The following E values (in eV/atom) correspond, in order, to the records above: -6.683 -5.291 -4.283 -4.444 -2.445 -5.909 -6.058 -4.873 -5.541 -1.700 -8.319 -6.695.